This record from Alexandria describes crystalline Ho8TmSc6 at its relaxed geometry. The functional is PBE.

Computed properties:
Energy above the lowest structure with this stoichiometry ... 60.3 meV/atom
E ... -5.022 eV/atom
Formation enthalpy at 0 K ... 0.250 eV/atom

a = 6.339 Å, b = 9.000 Å, c = 9.000 Å
α = 120.00°, β = 90.00°, γ = 90.00°
Sites, in units of the cell vectors:
Ho 0.891 0.963 0.308
Ho 0.891 0.692 0.655
Ho 0.891 0.345 0.037
Ho 0.109 0.037 0.692
Ho 0.109 0.308 0.345
Ho 0.109 0.655 0.963
Ho 0.783 0.333 0.667
Ho 0.217 0.667 0.333
Tm 0.500 0.000 0.000
Sc 0.597 0.672 0.070
Sc 0.597 0.930 0.601
Sc 0.597 0.399 0.328
Sc 0.403 0.328 0.930
Sc 0.403 0.070 0.399
Sc 0.403 0.601 0.672

***

This record from Alexandria describes crystalline Ca3TbPb12 at its relaxed geometry. The functional is PBE.

Computed properties:
E ... -3.758 eV/atom
Formation enthalpy at 0 K ... -0.312 eV/atom

a = 4.906 Å, b = 4.906 Å, c = 19.861 Å
α = 90.00°, β = 90.00°, γ = 90.00°
Sites, in units of the cell vectors:
Ca 0.000 0.000 0.248
Ca 0.000 0.000 0.500
Ca 0.000 0.000 0.752
Tb 0.000 0.000 0.000
Pb 0.500 0.500 0.000
Pb 0.500 0.500 0.250
Pb 0.500 0.500 0.500
Pb 0.500 0.500 0.750
Pb 0.500 0.000 0.124
Pb 0.500 0.000 0.375
Pb 0.500 0.000 0.625
Pb 0.500 0.000 0.876
Pb 0.000 0.500 0.124
Pb 0.000 0.500 0.375
Pb 0.000 0.500 0.625
Pb 0.000 0.500 0.876

***

This record from Alexandria describes crystalline Te2PS at its relaxed geometry. The functional is PBE.

Computed properties:
Energy above the lowest structure with this stoichiometry ... 0.0 meV/atom
Raw formation energy ... 0.3743 eV/atom
E ... -3.581 eV/atom

a = 8.727 Å, b = 8.727 Å, c = 8.727 Å
α = 25.74°, β = 25.74°, γ = 25.74°
Sites, in units of the cell vectors:
P 0.500 0.500 0.500
S 0.000 0.000 0.000
Te 0.901 0.901 0.901
Te 0.099 0.099 0.099